1.
Y2Ho2ErTm4 GGA-PBE relaxed; E_tot = -4.85 eV/atom; ΔE_f = 0.887 eV/f.u.; V = 31.2 Å³ per atom; DOS(E_F) = 1.9263 states/eV/atom; symmetry = P-1
1.0
5.997 0.000 0.000
2.992 5.927 0.000
2.958 0.361 7.895
Y Ho Er Tm
2 2 1 4
Direct
0.097 0.329 0.339
0.903 0.671 0.661
0.458 0.778 0.446
0.542 0.222 0.554
0.500 0.000 0.000
0.001 0.876 0.231
0.318 0.572 0.879
0.682 0.428 0.121
0.999 0.124 0.769

---

2.
Y3Ho6Er2Tm GGA-PBE relaxed; E_tot = -5.01 eV/atom; ΔE_f = 0.278 eV/f.u.; V = 31.1 Å³ per atom; DOS(E_F) = 1.4310 states/eV/atom; symmetry = C2/m
1.0
3.058 -5.290 0.000
3.058 5.290 0.000
-2.030 0.000 11.524
Y Ho Er Tm
3 6 2 1
Direct
0.000 0.000 0.000
0.333 0.667 0.000
0.667 0.333 0.000
0.084 0.417 0.252
0.249 0.249 0.748
0.417 0.084 0.252
0.583 0.916 0.748
0.751 0.751 0.252
0.916 0.583 0.748
0.167 0.833 0.500
0.833 0.167 0.500
0.500 0.500 0.500

---

3.
Y2HoEr2Tm GGA-PBE relaxed; E_tot = -4.91 eV/atom; ΔE_f = 1.641 eV/f.u.; V = 32.0 Å³ per atom; DOS(E_F) = 1.5542 states/eV/atom; symmetry = Pnnm
1.0
6.473 0.000 0.000
0.000 17.645 0.000
0.000 0.000 3.367
Y Ho Er Tm
4 2 4 2
Direct
0.230 0.185 0.000
0.270 0.685 0.500
0.730 0.315 0.500
0.770 0.815 0.000
0.000 0.500 0.000
0.500 0.000 0.500
0.228 0.354 0.500
0.272 0.854 0.000
0.728 0.146 0.000
0.772 0.646 0.500
0.000 0.000 0.000
0.500 0.500 0.500

---

4.
YHo3ErTm GGA-PBE relaxed; E_tot = -4.66 eV/atom; ΔE_f = 1.270 eV/f.u.; V = 32.7 Å³ per atom; DOS(E_F) = 1.7261 states/eV/atom; symmetry = C2/m
1.0
10.965 -2.684 0.000
10.965 2.684 0.000
-0.981 0.000 6.664
Y Ho Er Tm
2 6 2 2
Direct
0.131 0.131 0.467
0.869 0.869 0.533
0.025 0.025 0.775
0.274 0.274 0.690
0.331 0.331 0.228
0.669 0.669 0.772
0.726 0.726 0.310
0.975 0.975 0.225
0.167 0.167 0.027
0.833 0.833 0.973
0.427 0.427 0.847
0.573 0.573 0.153